TmCrP2N6 | Alexandria | PBE-GGA | relaxed; space-group type = C2/c, No. 15; D(E_F) = 3.99 states/eV/cell
1.0
-3.261 -2.086 -3.939
0.310 -6.878 0.692
-6.359 -0.273 2.715
N Tm P Cr
12 2 4 2
Direct
0.193 0.974 0.781 N
0.061 0.694 0.630 N
0.573 0.175 0.614 N
0.439 0.370 0.306 N
0.693 0.781 0.974 N
0.939 0.306 0.370 N
0.927 0.386 0.825 N
0.561 0.630 0.694 N
0.807 0.026 0.219 N
0.307 0.219 0.026 N
0.427 0.825 0.386 N
0.073 0.614 0.175 N
0.250 0.884 0.116 Tm
0.750 0.116 0.884 Tm
0.815 0.623 0.770 P
0.185 0.377 0.230 P
0.685 0.230 0.377 P
0.315 0.770 0.623 P
0.250 0.221 0.779 Cr
0.750 0.779 0.221 Cr

=====

VCr2PN | Alexandria | PBE-GGA | relaxed; space-group type = P4/mmm, No. 123; D(E_F) = 5.64 states/eV/cell
1.0
3.709 0.000 0.000
0.000 4.395 0.000
0.000 0.000 3.709
V Cr P N
1 2 1 1
Direct
0.500 0.500 0.500 V
0.000 0.000 0.500 Cr
0.500 0.000 0.000 Cr
0.000 0.500 0.000 P
0.000 0.000 0.000 N

=====

CrP2WN | Alexandria | PBE-GGA | relaxed; space-group type = P4/mmm, No. 123; D(E_F) = 4.46 states/eV/cell
1.0
4.602 0.000 0.000
0.000 4.602 0.000
0.000 0.000 3.451
W Cr P N
1 1 2 1
Direct
0.500 0.500 0.500 W
0.000 0.000 0.000 Cr
0.500 0.000 0.000 P
0.000 0.500 0.000 P
0.000 0.000 0.500 N

=====

ZrCrP2N | Alexandria | PBE-GGA | relaxed; distance to the lowest polymorph of the same formula = 0 meV/atom; space-group type = P4/mmm, No. 123; D(E_F) = 3.13 states/eV/cell
1.0
4.388 0.000 0.000
0.000 3.566 0.000
0.000 0.000 4.388
P Cr N Zr
2 1 1 1
Direct
0.000 0.000 0.500 P
0.500 0.000 0.000 P
0.000 0.500 0.000 Cr
0.000 0.000 0.000 N
0.500 0.500 0.500 Zr

=====

no.,mass density (kg/m3),raw formation energy (meV/atom),uncorrected energy (eV/cell)
1,4998,-558,-160.9
2,5490,104,-41.6
3,7085,861,-37.4
4,5299,-66,-37.6